## MgNiPb3 (PBE)

Data for a relaxed MgNiPb3 crystal.

Lattice parameters (Å, degrees): 5.4479 5.4479 5.4479 90.00 90.00 90.00
With the nearest neighbours (Å) after each atom.
Atoms (fractional coordinates):
1 Pb 0.0000 0.0000 0.5000  2 Mg 2.72
2 Pb 0.5000 0.0000 0.0000  2 Mg 2.72
3 Pb 0.0000 0.5000 0.0000  2 Mg 2.72
4 Ni 0.5000 0.5000 0.5000  12 Pb 3.85
5 Mg 0.0000 0.0000 0.0000  6 Pb 2.72

Calculated values
DFT formation energy = 890 meV/atom
Energy relative to the lowest polymorph listed for this composition = 720.4 meV per atom

=====

## MgNiPb (PBE)

Data for a relaxed MgNiPb crystal.

Lattice parameters (Å, degrees): 6.1482 6.1628 6.1627 149.57 149.54 43.63
With the nearest neighbours (Å) after each atom.
Atoms (fractional coordinates):
1 Ni 0.3410 0.3411 0.9999  4 Mg 2.70, 4 Pb 2.85
2 Mg 0.9680 0.9665 0.0015  4 Ni 2.70
3 Pb 0.6909 0.6924 0.9985  4 Ni 2.85, 1 Mg 3.13

Calculated values
DFT formation energy = 33 meV/atom

=====

## Mg4NiPb (PBE)

Data for a relaxed Mg4NiPb crystal.

Lattice parameters (Å, degrees): 5.6828 5.6828 5.6828 60.00 60.00 60.00
With the nearest neighbours (Å) after each atom.
Atoms (fractional coordinates):
1 Ni 0.7500 0.7500 0.7500  12 Mg 3.33, 4 Pb 3.48
2 Pb 0.0000 0.0000 0.0000  12 Mg 3.33, 4 Ni 3.48
3 Mg 0.3759 0.3759 0.3759  6 Mg 2.82-2.86
4 Mg 0.3759 0.3759 0.8724  6 Mg 2.82-2.86
5 Mg 0.3759 0.8724 0.3759  6 Mg 2.82-2.86
6 Mg 0.8724 0.3759 0.3759  6 Mg 2.82-2.86

Calculated values
DFT formation energy = 245 meV/atom
Energy relative to the lowest polymorph listed for this composition = 367.0 meV per atom

=====

## Mg2NiPb (PBE)

Data for a relaxed Mg2NiPb crystal.

Lattice parameters (Å, degrees): 5.4870 5.4870 4.8185 64.18 64.18 37.77
With the nearest neighbours (Å) after each atom.
Atoms (fractional coordinates):
1 Mg 0.5337 0.5337 0.4661  2 Ni 2.67
2 Mg 0.9663 0.9663 0.0339  2 Ni 2.67
3 Pb 0.7500 0.7500 0.7500  4 Ni 2.99, 8 Mg 3.12-3.16
4 Ni 0.2500 0.2500 0.2500  4 Mg 2.67

Calculated values
DFT formation energy = 33 meV/atom

=====

## Mg5NiPb (PBE)

Data for a relaxed Mg5NiPb crystal.

Lattice parameters (Å, degrees): 4.4605 4.4606 7.5085 90.00 90.00 90.00
With the nearest neighbours (Å) after each atom.
Atoms (fractional coordinates):
1 Mg 0.5000 0.0000 0.1925  2 Ni 2.66, 1 Mg 2.89
2 Mg 0.0000 0.5000 0.8075  2 Ni 2.66, 1 Mg 2.89
3 Mg 0.5000 0.0000 0.8075  2 Ni 2.66, 1 Mg 2.89
4 Mg 0.5000 0.5000 0.5000  4 Pb 3.15, 8 Mg 3.21
5 Mg 0.0000 0.5000 0.1925  2 Ni 2.66, 1 Mg 2.89
6 Ni 0.5000 0.5000 0.0000  8 Mg 2.66
7 Pb 0.0000 0.0000 0.5000  12 Mg 3.15-3.21

Calculated values
DFT formation energy = -85 meV/atom

=====

## RbMgNiPb2 (PBE)

Data for a relaxed RbMgNiPb2 crystal.

Lattice parameters (Å, degrees): 6.2078 4.7122 6.2078 90.00 90.00 90.00
With the nearest neighbours (Å) after each atom.
Atoms (fractional coordinates):
1 Pb 0.0000 0.0000 0.5000  2 Rb 3.10
2 Pb 0.5000 0.0000 0.0000  2 Rb 3.10
3 Rb 0.0000 0.0000 0.0000  2 Ni 2.36
4 Mg 0.5000 0.5000 0.5000  8 Pb 3.90
5 Ni 0.0000 0.5000 0.0000  2 Rb 2.36

Calculated values
DFT formation energy = 1340 meV/atom

=====

## MgNiRhPb (PBE)

Data for a relaxed MgNiRhPb crystal.

Lattice parameters (Å, degrees): 4.5298 4.5298 4.5298 60.00 60.00 60.00
With the nearest neighbours (Å) after each atom.
Atoms (fractional coordinates):
1 Rh 0.7500 0.7500 0.7500  4 Pb 2.77, 4 Mg 2.77
2 Pb 0.0000 0.0000 0.0000  4 Rh 2.77, 4 Ni 2.77
3 Mg 0.5000 0.5000 0.5000  4 Ni 2.77, 4 Rh 2.77
4 Ni 0.2500 0.2500 0.2500  4 Pb 2.77, 4 Mg 2.77

Calculated values
DFT formation energy = -137 meV/atom

=====

## MgScNiPb (PBE)

Data for a relaxed MgScNiPb crystal.

Lattice parameters (Å, degrees): 4.7954 4.7954 4.7954 60.00 60.00 60.00
With the nearest neighbours (Å) after each atom.
Atoms (fractional coordinates):
1 Pb 0.0000 0.0000 0.0000  4 Mg 2.94, 4 Sc 2.94
2 Mg 0.7500 0.7500 0.7500  4 Pb 2.94, 4 Ni 2.94
3 Sc 0.2500 0.2500 0.2500  4 Pb 2.94, 4 Ni 2.94
4 Ni 0.5000 0.5000 0.5000  4 Sc 2.94, 4 Mg 2.94

Calculated values
DFT formation energy = -156 meV/atom

=====

Please write out number 2 again, unchanged.
## MgNiPb (PBE)

Data for a relaxed MgNiPb crystal.

Lattice parameters (Å, degrees): 6.1482 6.1628 6.1627 149.57 149.54 43.63
With the nearest neighbours (Å) after each atom.
Atoms (fractional coordinates):
1 Ni 0.3410 0.3411 0.9999  4 Mg 2.70, 4 Pb 2.85
2 Mg 0.9680 0.9665 0.0015  4 Ni 2.70
3 Pb 0.6909 0.6924 0.9985  4 Ni 2.85, 1 Mg 3.13

Calculated values
DFT formation energy = 33 meV/atom

=====

Q: The highest DFT formation energy belongs to which entry?
A: RbMgNiPb2

=====

Q: Which value of DFT formation energy does entry 7 give?
A: -137 meV/atom

=====

What did the eighth record say?
## MgScNiPb (PBE)

Data for a relaxed MgScNiPb crystal.

Lattice parameters (Å, degrees): 4.7954 4.7954 4.7954 60.00 60.00 60.00
With the nearest neighbours (Å) after each atom.
Atoms (fractional coordinates):
1 Pb 0.0000 0.0000 0.0000  4 Mg 2.94, 4 Sc 2.94
2 Mg 0.7500 0.7500 0.7500  4 Pb 2.94, 4 Ni 2.94
3 Sc 0.2500 0.2500 0.2500  4 Pb 2.94, 4 Ni 2.94
4 Ni 0.5000 0.5000 0.5000  4 Sc 2.94, 4 Mg 2.94

Calculated values
DFT formation energy = -156 meV/atom